A relaxed structure of RbGe2I8. Source: the Alexandria database, functional PBE.

abc: 7.290 9.648 9.648
angles: 83.72 83.52 83.52
Fractional coordinates of all 11 atoms:
Rb  0.000  0.000  0.000
Ge  0.638  0.764  0.764
Ge  0.362  0.236  0.236
I  0.291  0.304  0.974
I  0.709  0.026  0.696
I  0.283  0.750  0.750
I  0.717  0.250  0.250
I  0.291  0.974  0.304
I  0.709  0.696  0.026
I  0.842  0.596  0.596
I  0.158  0.404  0.404

Output
Its density of states at the Fermi level is 5.77 states/eV per cell. Its symmetry is C2/m. The value obtained for the total energy is -2.5105 eV per atom. The calculated density is 3.1 Mg/m³.